(1)
DFT (PBE) results for a relaxed AcTl3Cd crystal.

## Properties
Total magnetic moment ... 0.000 μB/atom
Crystal system ... orthorhombic
Energy of formation ... -154.6 meV per atom

a b c (Å): 10.882 4.938 11.425
angles (deg): 90.00 90.00 90.00
Atoms (fractional coordinates):
Ac 0.199 0.250 0.001
Ac 0.301 0.750 0.501
Ac 0.699 0.250 0.499
Ac 0.801 0.750 0.999
Tl 0.086 0.250 0.388
Tl 0.110 0.750 0.812
Tl 0.111 0.750 0.197
Tl 0.389 0.250 0.697
Tl 0.390 0.250 0.312
Tl 0.414 0.750 0.888
Tl 0.586 0.250 0.112
Tl 0.610 0.750 0.688
Tl 0.611 0.750 0.303
Tl 0.889 0.250 0.803
Tl 0.890 0.250 0.188
Tl 0.914 0.750 0.612
Cd 0.113 0.250 0.649
Cd 0.387 0.750 0.149
Cd 0.613 0.250 0.851
Cd 0.887 0.750 0.351



(2)
DFT (PBE) results for a relaxed Ac2TlCd4 crystal.

## Properties
Total magnetic moment ... 0.000 μB/atom
Crystal system ... orthorhombic
Energy of formation ... -108.0 meV per atom

a b c (Å): 6.699 6.699 11.378
angles (deg): 90.00 90.00 57.40
Atoms (fractional coordinates):
Ac 0.157 0.157 0.000
Ac 0.343 0.343 0.500
Ac 0.657 0.657 0.500
Ac 0.843 0.843 0.000
Tl 0.000 0.000 0.500
Tl 0.500 0.500 0.000
Cd 0.001 0.499 0.750
Cd 0.248 0.752 0.750
Cd 0.252 0.748 0.250
Cd 0.499 0.001 0.250
Cd 0.501 0.999 0.750
Cd 0.748 0.252 0.750
Cd 0.752 0.248 0.250
Cd 0.999 0.501 0.250



(3)
DFT (PBE) results for a relaxed Ac6TlCd2 crystal.

## Properties
Total magnetic moment ... 0.000 μB/atom
Crystal system ... orthorhombic
Energy of formation ... -162.2 meV per atom

a b c (Å): 9.685 9.685 9.685
angles (deg): 111.33 108.93 108.17
Atoms (fractional coordinates):
Ac 0.045 0.823 0.223
Ac 0.250 0.550 0.300
Ac 0.250 0.951 0.700
Ac 0.265 0.319 0.584
Ac 0.265 0.681 0.946
Ac 0.400 0.177 0.223
Ac 0.600 0.823 0.777
Ac 0.735 0.319 0.054
Ac 0.735 0.681 0.416
Ac 0.750 0.049 0.300
Ac 0.750 0.450 0.700
Ac 0.955 0.177 0.777
Tl 0.000 0.500 0.500
Tl 0.500 0.000 0.500
Cd 0.000 0.138 0.138
Cd 0.000 0.862 0.862
Cd 0.373 0.373 0.000
Cd 0.627 0.627 0.000



(4)
DFT (PBE) results for a relaxed AcTl2Cd3 crystal.

## Properties
Total magnetic moment ... 0.000 μB/atom
Crystal system ... hexagonal
Energy of formation ... -103.2 meV per atom

a b c (Å): 6.203 6.203 5.127
angles (deg): 90.00 90.00 120.00
Atoms (fractional coordinates):
Ac 0.000 0.000 0.000
Tl 0.333 0.667 0.000
Tl 0.667 0.333 0.000
Cd 0.000 0.500 0.500
Cd 0.500 0.000 0.500
Cd 0.500 0.500 0.500



(5)
DFT (PBE) results for a relaxed AcTl2Cd crystal.

## Properties
Total magnetic moment ... 0.000 μB/atom
Crystal system ... tetragonal
Energy of formation ... -279.9 meV per atom

a b c (Å): 10.073 10.073 10.073
angles (deg): 150.76 150.76 41.82
Atoms (fractional coordinates):
Ac 0.128 0.128 0.000
Ac 0.872 0.872 0.000
Tl 0.000 0.500 0.500
Tl 0.358 0.358 0.000
Tl 0.500 0.000 0.500
Tl 0.642 0.642 0.000
Cd 0.250 0.750 0.500
Cd 0.750 0.250 0.500



(6)
DFT (PBE) results for a relaxed Ac2TlCd9 crystal.

## Properties
Total magnetic moment ... 0.000 μB/atom
Crystal system ... trigonal
Energy of formation ... -136.8 meV per atom

a b c (Å): 10.230 10.230 10.230
angles (deg): 36.00 36.00 36.00
Atoms (fractional coordinates):
Ac 0.139 0.139 0.139
Ac 0.861 0.861 0.861
Tl 0.000 0.000 0.000
Cd 0.075 0.588 0.588
Cd 0.335 0.335 0.335
Cd 0.412 0.412 0.925
Cd 0.412 0.925 0.412
Cd 0.500 0.500 0.500
Cd 0.588 0.075 0.588
Cd 0.588 0.588 0.075
Cd 0.665 0.665 0.665
Cd 0.925 0.412 0.412



Question: Number 3 is which compound?
Answer: Ac6TlCd2



Copy entry 2 word for word.
DFT (PBE) results for a relaxed Ac2TlCd4 crystal.

## Properties
Total magnetic moment ... 0.000 μB/atom
Crystal system ... orthorhombic
Energy of formation ... -108.0 meV per atom

a b c (Å): 6.699 6.699 11.378
angles (deg): 90.00 90.00 57.40
Atoms (fractional coordinates):
Ac 0.157 0.157 0.000
Ac 0.343 0.343 0.500
Ac 0.657 0.657 0.500
Ac 0.843 0.843 0.000
Tl 0.000 0.000 0.500
Tl 0.500 0.500 0.000
Cd 0.001 0.499 0.750
Cd 0.248 0.752 0.750
Cd 0.252 0.748 0.250
Cd 0.499 0.001 0.250
Cd 0.501 0.999 0.750
Cd 0.748 0.252 0.750
Cd 0.752 0.248 0.250
Cd 0.999 0.501 0.250